(1)
Cs2ZnCdF6 | PBE | relaxed

- Total energy: -3.97 eV/atom
- Space group: P-3m1, No. 164
- ΔE to the lowest computed polymorph: 22 meV/atom

Unit cell a=6.4574 b=6.4574 c=5.7848 alpha=90.00 beta=90.00 gamma=120.00
Atoms (fractional coordinates):
Cs1 0.3333 0.6667 0.3089
Cs2 0.6667 0.3333 0.6911
Zn1 0.0000 0.0000 0.5000
Cd1 0.0000 0.0000 0.0000
F1 0.1454 0.2907 0.7251
F2 0.1454 0.8546 0.7251
F3 0.2907 0.1454 0.2749
F4 0.7093 0.8546 0.7251
F5 0.8546 0.1454 0.2749
F6 0.8546 0.7093 0.2749

=====

(2)
Pm4TlCuAg2 | PBE | relaxed

- Total energy: -4.16 eV/atom
- Space group: R-3m, No. 166
- Formation energy from the elements: -0.26 eV per atom

Unit cell a=9.1232 b=9.1232 c=9.1232 alpha=33.71 beta=33.71 gamma=33.71
Atoms (fractional coordinates):
Pm1 0.1175 0.1175 0.1175
Pm2 0.3686 0.3686 0.3686
Pm3 0.6314 0.6314 0.6314
Pm4 0.8825 0.8825 0.8825
Tl1 0.5000 0.5000 0.5000
Cu1 0.0000 0.0000 0.0000
Ag1 0.2446 0.2446 0.2446
Ag2 0.7554 0.7554 0.7554

=====

(3)
V5P | PBE | relaxed

- Total energy: -8.82 eV/atom
- Space group: Cmmm, No. 65
- Formation energy from the elements: -0.32 eV per atom

Unit cell a=6.3815 b=6.3815 c=3.1568 alpha=90.00 beta=90.00 gamma=142.94
Atoms (fractional coordinates):
V1 0.0000 0.0000 0.0000
V2 0.1602 0.8398 0.5000
V3 0.3361 0.6639 0.0000
V4 0.6639 0.3361 0.0000
V5 0.8398 0.1602 0.5000
P1 0.5000 0.5000 0.5000

=====

(4)
RbTl2Au | PBE | relaxed

- Total energy: -2.36 eV/atom
- Space group: R3m, No. 160
- Formation energy from the elements: -0.12 eV per atom

Unit cell a=8.0383 b=8.0383 c=8.0383 alpha=33.93 beta=33.93 gamma=33.93
Atoms (fractional coordinates):
Rb1 0.0000 0.0000 0.0000
Tl1 0.5533 0.5533 0.5533
Tl2 0.7793 0.7793 0.7793
Au1 0.1676 0.1676 0.1676

=====

(5)
CsRb2NaGe | PBE | relaxed

- Total energy: -1.63 eV/atom
- Space group: P4/mmm, No. 123
- Formation energy from the elements: 0.11 eV per atom

Unit cell a=7.0422 b=7.0422 c=6.0480 alpha=90.00 beta=90.00 gamma=90.00
Atoms (fractional coordinates):
Cs1 0.0000 0.0000 0.0000
Rb1 0.0000 0.5000 0.5000
Rb2 0.5000 0.0000 0.5000
Na1 0.5000 0.5000 0.0000
Ge1 0.5000 0.5000 0.5000

=====

(6)
GaIrN2 | PBE | relaxed

- Total energy: -6.74 eV/atom
- Space group: I-42d, No. 122

Unit cell a=5.4618 b=5.4618 c=5.4618 alpha=128.40 beta=128.40 gamma=75.99
Atoms (fractional coordinates):
Ga1 0.0000 0.0000 0.0000
Ga2 0.7500 0.2500 0.5000
Ir1 0.2500 0.7500 0.5000
Ir2 0.5000 0.5000 0.0000
N1 0.1076 0.6250 0.9826
N2 0.3750 0.3576 0.4826
N3 0.6424 0.1250 0.0174
N4 0.8750 0.8924 0.5174

=====

(7)
ThIn2Au | PBE | relaxed

- Total energy: -4.20 eV/atom
- Space group: R-3m, No. 166
- ΔE to the lowest computed polymorph: 214 meV/atom
- Formation energy from the elements: -0.15 eV per atom

Unit cell a=5.0856 b=5.0856 c=5.0856 alpha=63.52 beta=63.52 gamma=63.52
Atoms (fractional coordinates):
Th1 0.0000 0.0000 0.0000
In1 0.2602 0.2602 0.2602
In2 0.7398 0.7398 0.7398
Au1 0.5000 0.5000 0.5000

=====

(8)
Tb2LuAs | PBE | relaxed

- Total energy: -5.17 eV/atom
- Space group: R-3m, No. 166
- Formation energy from the elements: -0.57 eV per atom

Unit cell a=9.6144 b=9.6144 c=9.6144 alpha=23.12 beta=23.12 gamma=23.12
Atoms (fractional coordinates):
Tb1 0.2290 0.2290 0.2290
Tb2 0.7710 0.7710 0.7710
Lu1 0.0000 0.0000 0.0000
As1 0.5000 0.5000 0.5000

=====

(9)
Ac5PmY2 | PBE | relaxed

- Total energy: -4.74 eV/atom
- Space group: Pbam, No. 55
- Formation energy from the elements: 0.03 eV per atom

Unit cell a=7.6558 b=15.3110 c=5.4690 alpha=90.00 beta=90.00 gamma=90.00
Atoms (fractional coordinates):
Ac1 0.0000 0.0000 0.0000
Ac2 0.0090 0.2530 0.0000
Ac3 0.2417 0.6219 0.5000
Ac4 0.2583 0.1219 0.5000
Ac5 0.4910 0.7530 0.0000
Ac6 0.5000 0.5000 0.0000
Ac7 0.5090 0.2470 0.0000
Ac8 0.7417 0.8781 0.5000
Ac9 0.7583 0.3781 0.5000
Ac10 0.9910 0.7470 0.0000
Pm1 0.0000 0.5000 0.0000
Pm2 0.5000 0.0000 0.0000
Y1 0.2449 0.8759 0.5000
Y2 0.2551 0.3759 0.5000
Y3 0.7449 0.6241 0.5000
Y4 0.7551 0.1241 0.5000

=====

(10)
Dy2YTh | PBE | relaxed

- Total energy: -5.61 eV/atom
- Space group: Fm-3m, No. 225
- ΔE to the lowest computed polymorph: 156 meV/atom
- Formation energy from the elements: 0.16 eV per atom

Unit cell a=5.6727 b=5.6727 c=5.6727 alpha=60.00 beta=60.00 gamma=60.00
Atoms (fractional coordinates):
Dy1 0.2500 0.2500 0.2500
Dy2 0.7500 0.7500 0.7500
Y1 0.0000 0.0000 0.0000
Th1 0.5000 0.5000 0.5000

=====

(11)
CdSn2Au | PBE | relaxed

- Total energy: -3.03 eV/atom
- Space group: R-3m, No. 166
- Formation energy from the elements: 0.02 eV per atom

Unit cell a=11.0961 b=11.0961 c=11.0961 alpha=16.80 beta=16.80 gamma=16.80
Atoms (fractional coordinates):
Cd1 0.0000 0.0000 0.0000
Sn1 0.0953 0.0953 0.0953
Sn2 0.9047 0.9047 0.9047
Au1 0.5000 0.5000 0.5000

=====

(12)
MgZn3 | PBE | relaxed

- Total energy: -1.37 eV/atom
- Space group: Pmm2, No. 25
- Formation energy from the elements: -0.02 eV per atom

Unit cell a=2.9657 b=4.5893 c=4.8704 alpha=90.00 beta=90.00 gamma=90.00
Atoms (fractional coordinates):
Mg1 0.0000 0.0000 0.0000
Zn1 0.0000 0.5000 0.6562
Zn2 0.5000 0.0000 0.4959
Zn3 0.5000 0.5000 0.1735

=====

(13)
NaAc5Pb4 | PBE | relaxed

- Total energy: -4.01 eV/atom
- Space group: P4/mmm, No. 123
- Formation energy from the elements: -0.34 eV per atom

Unit cell a=3.9838 b=3.9838 c=23.2254 alpha=90.00 beta=90.00 gamma=90.00
Atoms (fractional coordinates):
Na1 0.0000 0.0000 0.0000
Ac1 0.5000 0.5000 0.1139
Ac2 0.5000 0.5000 0.3043
Ac3 0.5000 0.5000 0.5000
Ac4 0.5000 0.5000 0.6957
Ac5 0.5000 0.5000 0.8861
Pb1 0.0000 0.0000 0.2052
Pb2 0.0000 0.0000 0.4014
Pb3 0.0000 0.0000 0.5986
Pb4 0.0000 0.0000 0.7948